No. 1
{
  "formula": "MgCoC3",
  "functional": "PBE",
  "state": "optimized geometry",
  "lattice_angstrom": [[3.971, 0.000, 0.000], [0.000, 3.971, 0.000], [0.000, 0.000, 3.971]],
  "species": ["Mg", "Co", "C", "C", "C"],
  "fractional_positions": [[0.000, 0.000, 0.000], [0.500, 0.500, 0.500], [0.000, 0.000, 0.500], [0.000, 0.500, 0.000], [0.500, 0.000, 0.000]],
  "spacegroup": "No. 221",
  "e_above_lowest_polymorph_mev_per_atom": 1504,
  "dos_at_fermi_per_ev_cell": 8.20,
  "volume_a3_per_atom": 12.52,
  "e_form_ev_per_atom": 3.297,
  "dft_energy_ev_per_cell": -19.89
}

=====

No. 2
{
  "formula": "BaYF2",
  "functional": "PBE",
  "state": "optimized geometry",
  "lattice_angstrom": [[0.000, 3.445, 3.445], [3.445, 0.000, 3.445], [3.445, 3.445, 0.000]],
  "species": ["Ba", "Y", "F", "F"],
  "fractional_positions": [[0.000, 0.000, 0.000], [0.500, 0.500, 0.500], [0.250, 0.250, 0.250], [0.750, 0.750, 0.750]],
  "spacegroup": "No. 225",
  "e_above_lowest_polymorph_mev_per_atom": 1016,
  "dos_at_fermi_per_ev_cell": 4.07,
  "volume_a3_per_atom": 20.44,
  "dft_energy_ev_per_cell": -18.84,
  "e_form_raw_ev_per_atom": -1.677
}

=====

No. 3
{
  "formula": "AlP2Au",
  "functional": "PBE",
  "state": "optimized geometry",
  "lattice_angstrom": [[-1.910, 1.963, 5.264], [1.910, -1.963, 5.264], [1.910, 1.963, -5.264]],
  "species": ["Al", "P", "P", "Au"],
  "fractional_positions": [[0.000, 0.000, 0.000], [0.153, 0.653, 0.500], [0.847, 0.347, 0.500], [0.500, 0.500, 0.000]],
  "spacegroup": "No. 71",
  "dos_at_fermi_per_ev_cell": 1.09,
  "volume_a3_per_atom": 19.73,
  "e_form_ev_per_atom": 0.123,
  "dft_energy_ev_per_cell": -17.35
}

=====

No. 4
{
  "formula": "La6AuBr3Cl2",
  "functional": "PBE",
  "state": "optimized geometry",
  "lattice_angstrom": [[3.502, -6.095, 0.000], [3.502, 6.095, 0.000], [-2.350, 0.000, 8.063]],
  "species": ["La", "La", "La", "La", "La", "La", "Au", "Br", "Br", "Br", "Cl", "Cl"],
  "fractional_positions": [[0.082, 0.426, 0.779], [0.226, 0.226, 0.217], [0.426, 0.082, 0.779], [0.574, 0.918, 0.221], [0.774, 0.774, 0.783], [0.918, 0.574, 0.221], [0.500, 0.500, 0.000], [0.000, 0.000, 0.500], [0.342, 0.658, 0.500], [0.658, 0.342, 0.500], [0.168, 0.832, 0.000], [0.832, 0.168, 0.000]],
  "spacegroup": "No. 12",
  "dos_at_fermi_per_ev_cell": 4.69,
  "volume_a3_per_atom": 28.69,
  "dft_energy_ev_per_cell": -57.25,
  "e_form_raw_ev_per_atom": -1.308
}

=====

No. 5
{
  "formula": "CeSc2Sb2",
  "functional": "PBE",
  "state": "optimized geometry",
  "lattice_angstrom": [[5.113, -5.706, 0.000], [5.113, 5.706, 0.000], [-5.020, 0.000, 5.176]],
  "species": ["Ce", "Ce", "Sc", "Sc", "Sc", "Sc", "Sb", "Sb", "Sb", "Sb"],
  "fractional_positions": [[0.124, 0.876, 0.750], [0.876, 0.124, 0.250], [0.230, 0.477, 0.961], [0.477, 0.230, 0.461], [0.523, 0.770, 0.539], [0.770, 0.523, 0.039], [0.154, 0.846, 0.250], [0.401, 0.599, 0.750], [0.599, 0.401, 0.250], [0.846, 0.154, 0.750]],
  "spacegroup": "No. 15",
  "dos_at_fermi_per_ev_cell": 24.22,
  "volume_a3_per_atom": 30.20,
  "dft_energy_ev_per_cell": -59.25,
  "e_form_raw_ev_per_atom": -0.557
}

=====

No. 6
{
  "formula": "TlP2IrS8",
  "functional": "PBE",
  "state": "optimized geometry",
  "lattice_angstrom": [[5.830, 0.000, 0.000], [-2.915, 5.049, 0.000], [0.000, 0.000, 9.397]],
  "species": ["Tl", "P", "P", "Ir", "S", "S", "S", "S", "S", "S", "S", "S"],
  "fractional_positions": [[0.000, 0.000, 0.000], [0.333, 0.667, 0.707], [0.667, 0.333, 0.293], [0.000, 0.000, 0.500], [0.017, 0.677, 0.354], [0.323, 0.340, 0.354], [0.333, 0.667, 0.920], [0.340, 0.017, 0.646], [0.660, 0.983, 0.354], [0.667, 0.333, 0.080], [0.677, 0.660, 0.646], [0.983, 0.323, 0.646]],
  "spacegroup": "No. 147",
  "dos_at_fermi_per_ev_cell": 10.75,
  "volume_a3_per_atom": 23.05,
  "dft_energy_ev_per_cell": -56.64,
  "e_form_raw_ev_per_atom": -0.131
}

=====

No. 7
{
  "formula": "Tb4PrSm2Tm",
  "functional": "PBE",
  "state": "optimized geometry",
  "lattice_angstrom": [[7.173, 0.000, 0.000], [0.007, 7.190, 0.000], [0.002, 0.009, 10.111]],
  "species": ["Tb", "Tb", "Tb", "Tb", "Tb", "Tb", "Tb", "Tb", "Pr", "Pr", "Sm", "Sm", "Sm", "Sm", "Tm", "Tm"],
  "fractional_positions": [[0.248, 0.249, 0.247], [0.248, 0.249, 0.753], [0.248, 0.751, 0.247], [0.248, 0.751, 0.753], [0.752, 0.249, 0.247], [0.752, 0.249, 0.753], [0.752, 0.751, 0.247], [0.752, 0.751, 0.753], [0.000, 0.500, 0.500], [0.500, 0.500, 0.000], [0.000, 0.000, 0.500], [0.500, 0.000, 0.000], [0.500, 0.000, 0.500], [0.500, 0.500, 0.500], [0.000, 0.000, 0.000], [0.000, 0.500, 0.000]],
  "spacegroup": "No. 2",
  "dos_at_fermi_per_ev_cell": 20.12,
  "volume_a3_per_atom": 32.59,
  "e_form_ev_per_atom": 0.015,
  "dft_energy_ev_per_cell": -74.18
}

=====

No. 8
{
  "formula": "FeAsSe2I",
  "functional": "PBE",
  "state": "optimized geometry",
  "lattice_angstrom": [[4.517, 0.000, 0.000], [0.000, 4.517, 0.000], [0.000, 0.000, 5.503]],
  "species": ["Fe", "As", "Se", "Se", "I"],
  "fractional_positions": [[0.000, 0.000, 0.000], [0.000, 0.000, 0.500], [0.000, 0.500, 0.000], [0.500, 0.000, 0.000], [0.500, 0.500, 0.500]],
  "spacegroup": "No. 123",
  "e_above_lowest_polymorph_mev_per_atom": 0,
  "dos_at_fermi_per_ev_cell": 7.76,
  "volume_a3_per_atom": 22.46,
  "dft_energy_ev_per_cell": -19.50,
  "e_form_raw_ev_per_atom": 0.426
}

=====

No. 9
{
  "formula": "SrCaHf2",
  "functional": "PBE",
  "state": "optimized geometry",
  "lattice_angstrom": [[0.000, 3.920, 3.920], [3.920, 0.000, 3.920], [3.920, 3.920, 0.000]],
  "species": ["Sr", "Ca", "Hf", "Hf"],
  "fractional_positions": [[0.000, 0.000, 0.000], [0.500, 0.500, 0.500], [0.250, 0.250, 0.250], [0.750, 0.750, 0.750]],
  "spacegroup": "No. 225",
  "e_above_lowest_polymorph_mev_per_atom": 0,
  "dos_at_fermi_per_ev_cell": 6.97,
  "volume_a3_per_atom": 30.12,
  "e_form_ev_per_atom": 0.907,
  "dft_energy_ev_per_cell": -19.96
}

=====

No. 10
{
  "formula": "HfNb2NiHg",
  "functional": "PBE",
  "state": "optimized geometry",
  "lattice_angstrom": [[4.643, 0.000, 0.000], [0.000, 4.643, 0.000], [0.000, 0.000, 4.808]],
  "species": ["Hf", "Nb", "Nb", "Ni", "Hg"],
  "fractional_positions": [[0.000, 0.000, 0.000], [0.000, 0.500, 0.500], [0.500, 0.000, 0.500], [0.000, 0.000, 0.500], [0.500, 0.500, 0.000]],
  "spacegroup": "No. 123",
  "dos_at_fermi_per_ev_cell": 6.88,
  "volume_a3_per_atom": 20.73,
  "e_form_ev_per_atom": 0.540,
  "dft_energy_ev_per_cell": -33.48
}

=====

No. 11
{
  "formula": "Hf2CrHRu",
  "functional": "PBE",
  "state": "optimized geometry",
  "lattice_angstrom": [[4.571, 0.000, 0.000], [0.000, 4.571, 0.000], [0.000, 0.000, 3.322]],
  "species": ["Hf", "Hf", "Cr", "H", "Ru"],
  "fractional_positions": [[0.000, 0.500, 0.000], [0.500, 0.000, 0.000], [0.000, 0.000, 0.500], [0.000, 0.000, 0.000], [0.500, 0.500, 0.500]],
  "spacegroup": "No. 123",
  "dos_at_fermi_per_ev_cell": 3.06,
  "volume_a3_per_atom": 13.88,
  "dft_energy_ev_per_cell": -43.91
}

=====

No. 12
{
  "formula": "La2YTcO",
  "functional": "PBE",
  "state": "optimized geometry",
  "lattice_angstrom": [[5.877, 0.000, 0.000], [0.000, 5.877, 0.000], [0.000, 0.000, 4.611]],
  "species": ["La", "La", "Y", "Tc", "O"],
  "fractional_positions": [[0.000, 0.500, 0.000], [0.500, 0.000, 0.000], [0.000, 0.000, 0.000], [0.000, 0.000, 0.500], [0.500, 0.500, 0.500]],
  "spacegroup": "No. 123",
  "dos_at_fermi_per_ev_cell": 8.18,
  "volume_a3_per_atom": 31.85,
  "dft_energy_ev_per_cell": -25.83,
  "e_form_raw_ev_per_atom": 1.162
}